This record from Alexandria describes a geometry-optimized Li3PtO structure. The functional is PBE-GGA.

Cell lengths 3.8630, 3.8630, 3.8630 Å; angles 90.00, 90.00, 90.00 degrees
Closest atoms and distances in Å follow each position.
Element x y z (fractional)
O  0.0000  0.0000  0.0000  6 Li 1.93
Pt  0.5000  0.5000  0.5000  12 Li 2.73
Li  0.0000  0.5000  0.0000  2 O 1.93
Li  0.0000  0.0000  0.5000  2 O 1.93
Li  0.5000  0.0000  0.0000  2 O 1.93

Results
E above lowest polymorph (meV per atom): 0
Calculated density (g/cm3): 6.7
Total energy (eV/f.u.): -21.213
Uncorrected formation energy (eV per atom): -0.89
Crystal system: cubic